Entry 1:
VASP calculation (PBE) on an optimized crystal structure of CuNiPt2.

Calculated values
The value obtained for the total moment is 0.00 μB per cell. As for the formation enthalpy at 0 K: 0.260 eV per atom. The space-group type is No. 122.

Cell: 3.7405 3.7405 17.3876 Å, 90.00 90.00 90.00°
Closest atoms and distances in Å follow each position.
Atoms (fractional coordinates):
Cu (0.0000, 0.0000, 0.0000)  4 Pt 2.55, 4 Ni 2.64
Cu (0.0000, 0.5000, 0.2500)  4 Pt 2.55, 4 Ni 2.64
Cu (0.5000, 0.0000, 0.7500)  4 Pt 2.55, 4 Ni 2.64
Cu (0.5000, 0.5000, 0.5000)  4 Pt 2.55, 4 Ni 2.64
Ni (0.0000, 0.0000, 0.5000)  4 Pt 2.54, 4 Cu 2.64
Ni (0.0000, 0.5000, 0.7500)  4 Pt 2.54, 4 Cu 2.64
Ni (0.5000, 0.0000, 0.2500)  4 Pt 2.54, 4 Cu 2.64
Ni (0.5000, 0.5000, 0.0000)  4 Pt 2.54, 4 Cu 2.64
Pt (0.2464, 0.2500, 0.6250)  2 Ni 2.54, 2 Cu 2.55, 4 Pt 2.63-2.66
Pt (0.2500, 0.7464, 0.8750)  2 Ni 2.54, 2 Cu 2.55, 4 Pt 2.63-2.66
Pt (0.2500, 0.7536, 0.3750)  2 Ni 2.54, 2 Cu 2.55, 4 Pt 2.63-2.66
Pt (0.2536, 0.2500, 0.1250)  2 Ni 2.54, 2 Cu 2.55, 4 Pt 2.63-2.66
Pt (0.7464, 0.7500, 0.1250)  2 Ni 2.54, 2 Cu 2.55, 4 Pt 2.63-2.66
Pt (0.7500, 0.2464, 0.3750)  2 Ni 2.54, 2 Cu 2.55, 4 Pt 2.63-2.66
Pt (0.7500, 0.2536, 0.8750)  2 Ni 2.54, 2 Cu 2.55, 4 Pt 2.63-2.66
Pt (0.7536, 0.7500, 0.6250)  2 Ni 2.54, 2 Cu 2.55, 4 Pt 2.63-2.66



Entry 2:
VASP calculation (PBE) on an optimized crystal structure of Cu3NiPt3.

Calculated values
The value obtained for the total moment is 0.27 μB per cell. As for the formation enthalpy at 0 K: 0.030 eV per atom. The space-group type is No. 160.

Cell: 5.1051 5.1051 5.1051 Å, 109.10 109.10 109.10°
Closest atoms and distances in Å follow each position.
Atoms (fractional coordinates):
Cu (0.0183, 0.4908, 0.4908)  6 Pt 2.55-2.61, 1 Ni 2.69
Cu (0.4908, 0.0183, 0.4908)  6 Pt 2.55-2.61, 1 Ni 2.69
Cu (0.4908, 0.4908, 0.0183)  6 Pt 2.55-2.61, 1 Ni 2.69
Ni (0.0541, 0.0541, 0.0541)  6 Pt 2.57, 3 Cu 2.69
Pt (0.5124, 0.9899, 0.9899)  6 Cu 2.55-2.61, 2 Ni 2.57
Pt (0.9899, 0.5124, 0.9899)  6 Cu 2.55-2.61, 2 Ni 2.57
Pt (0.9899, 0.9899, 0.5124)  6 Cu 2.55-2.61, 2 Ni 2.57



Entry 3:
VASP calculation (PBE) on an optimized crystal structure of CuNi5Pt4.

Calculated values
The value obtained for the total moment is 9.70 μB per cell. As for the formation enthalpy at 0 K: 0.081 eV per atom. The space-group type is No. 59.

Cell: 7.4342 8.3336 4.4261 Å, 90.00 90.00 90.00°
Closest atoms and distances in Å follow each position.
Atoms (fractional coordinates):
Cu (0.2500, 0.2500, 0.0324)  4 Pt 2.56-2.63, 4 Ni 2.58
Cu (0.7500, 0.7500, 0.9676)  4 Pt 2.56-2.63, 4 Ni 2.58
Ni (0.0831, 0.5009, 0.2308)  3 Ni 2.39-2.48, 5 Pt 2.51-2.63, 1 Cu 2.58
Ni (0.0831, 0.9991, 0.2308)  3 Ni 2.39-2.48, 5 Pt 2.51-2.63, 1 Cu 2.58
Ni (0.2500, 0.7500, 0.2252)  4 Ni 2.42, 6 Pt 2.57-2.67
Ni (0.4169, 0.5009, 0.2308)  3 Ni 2.39-2.48, 5 Pt 2.51-2.63, 1 Cu 2.58
Ni (0.4169, 0.9991, 0.2308)  3 Ni 2.39-2.48, 5 Pt 2.51-2.63, 1 Cu 2.58
Ni (0.5831, 0.0009, 0.7692)  3 Ni 2.39-2.48, 5 Pt 2.51-2.63, 1 Cu 2.58
Ni (0.5831, 0.4991, 0.7692)  3 Ni 2.39-2.48, 5 Pt 2.51-2.63, 1 Cu 2.58
Ni (0.7500, 0.2500, 0.7748)  4 Ni 2.42, 6 Pt 2.57-2.67
Ni (0.9169, 0.0009, 0.7692)  3 Ni 2.39-2.48, 5 Pt 2.51-2.63, 1 Cu 2.58
Ni (0.9169, 0.4991, 0.7692)  3 Ni 2.39-2.48, 5 Pt 2.51-2.63, 1 Cu 2.58
Pt (0.0673, 0.2500, 0.5423)  5 Ni 2.51-2.57, 2 Cu 2.56-2.63, 1 Pt 2.72
Pt (0.2500, 0.5790, 0.7348)  8 Ni 2.57-2.67, 1 Pt 2.85
Pt (0.2500, 0.9210, 0.7348)  8 Ni 2.57-2.67, 1 Pt 2.85
Pt (0.4327, 0.2500, 0.5423)  5 Ni 2.51-2.57, 2 Cu 2.56-2.63, 1 Pt 2.72
Pt (0.5673, 0.7500, 0.4577)  5 Ni 2.51-2.57, 2 Cu 2.56-2.63, 1 Pt 2.72
Pt (0.7500, 0.0790, 0.2652)  8 Ni 2.57-2.67, 1 Pt 2.85
Pt (0.7500, 0.4210, 0.2652)  8 Ni 2.57-2.67, 1 Pt 2.85
Pt (0.9327, 0.7500, 0.4577)  5 Ni 2.51-2.57, 2 Cu 2.56-2.63, 1 Pt 2.72



Entry 4:
VASP calculation (PBE) on an optimized crystal structure of Cu2NiPt2.

Calculated values
The value obtained for the total moment is 1.46 μB per cell. As for the formation enthalpy at 0 K: 0.171 eV per atom. The space-group type is No. 127.

Cell: 7.1892 7.1892 2.7511 Å, 90.00 90.00 90.00°
Closest atoms and distances in Å follow each position.
Atoms (fractional coordinates):
Cu (0.1207, 0.3793, 0.0000)  1 Cu 2.45, 6 Pt 2.47-2.58
Cu (0.3793, 0.8793, 0.0000)  1 Cu 2.45, 6 Pt 2.47-2.58
Cu (0.6207, 0.1207, 0.0000)  1 Cu 2.45, 6 Pt 2.47-2.58
Cu (0.8793, 0.6207, 0.0000)  1 Cu 2.45, 6 Pt 2.47-2.58
Ni (0.0000, 0.0000, 0.0000)  2 Ni 2.75, 4 Cu 2.86, 8 Pt 2.98
Ni (0.5000, 0.5000, 0.0000)  2 Ni 2.75, 4 Cu 2.86, 8 Pt 2.98
Pt (0.1775, 0.6775, 0.5000)  6 Cu 2.47-2.58, 2 Pt 2.75
Pt (0.3225, 0.1775, 0.5000)  6 Cu 2.47-2.58, 2 Pt 2.75
Pt (0.6775, 0.8225, 0.5000)  6 Cu 2.47-2.58, 2 Pt 2.75
Pt (0.8225, 0.3225, 0.5000)  6 Cu 2.47-2.58, 2 Pt 2.75